(1)
FeAuF3: optimized geometry, PBE+U.

a = 4.4256 Å, b = 4.4256 Å, c = 4.4256 Å
α = 90.00°, β = 90.00°, γ = 90.00°
Element x y z (fractional)
Fe: 0.0000 0.0000 0.0000
Au: 0.5000 0.5000 0.5000
F: 0.0000 0.5000 0.5000
F: 0.5000 0.0000 0.5000
F: 0.5000 0.5000 0.0000

Computed properties:
Energy above the most stable polymorph in this dataset ... 0.818 eV per atom
Total magnetic moment ... 3.49 μB/cell


(2)
FeAuF6: optimized geometry, PBE+U.

a = 5.1635 Å, b = 5.1994 Å, c = 5.2187 Å
α = 60.28°, β = 83.10°, γ = 75.80°
Element x y z (fractional)
Fe: 0.0000 0.0000 0.0000
Au: 0.5000 0.5000 0.0000
F: 0.2254 0.6414 0.2821
F: 0.2247 0.9225 0.7179
F: 0.2368 0.2439 0.0001
F: 0.7632 0.7561 0.9999
F: 0.7753 0.0775 0.2821
F: 0.7746 0.3586 0.7179

Computed properties:
Calculated total energy ... -3.94 eV/atom
Total magnetic moment ... 1.00 μB/cell


(3)
Fe3AuF: optimized geometry, PBE+U.

a = 5.0242 Å, b = 5.0242 Å, c = 5.0242 Å
α = 90.00°, β = 90.00°, γ = 90.00°
Element x y z (fractional)
Fe: 0.0000 0.0000 0.5000
Fe: 0.0000 0.5000 0.0000
Fe: 0.5000 0.0000 0.0000
Au: 0.0000 0.0000 0.0000
F: 0.5000 0.5000 0.5000

Computed properties:
Energy above the most stable polymorph in this dataset ... 0.367 eV per atom
Total magnetic moment ... 11.77 μB/cell


(4)
FeAu2F: optimized geometry, PBE+U.

a = 6.2982 Å, b = 6.2982 Å, c = 6.2982 Å
α = 90.00°, β = 90.00°, γ = 90.00°
Element x y z (fractional)
Fe: 0.0000 0.0000 0.0000
Fe: 0.0000 0.5000 0.5000
Fe: 0.5000 0.0000 0.5000
Fe: 0.5000 0.5000 0.0000
Au: 0.2500 0.2500 0.2500
Au: 0.2500 0.2500 0.7500
Au: 0.2500 0.7500 0.2500
Au: 0.2500 0.7500 0.7500
Au: 0.7500 0.2500 0.2500
Au: 0.7500 0.2500 0.7500
Au: 0.7500 0.7500 0.2500
Au: 0.7500 0.7500 0.7500
F: 0.0000 0.0000 0.5000
F: 0.0000 0.5000 0.0000
F: 0.5000 0.0000 0.0000
F: 0.5000 0.5000 0.5000

Computed properties:
Energy above the most stable polymorph in this dataset ... 0.223 eV per atom
Total magnetic moment ... 15.23 μB/cell


(5)
FeAu2F: optimized geometry, PBE+U.

a = 7.2715 Å, b = 7.2715 Å, c = 5.2772 Å
α = 90.00°, β = 90.00°, γ = 90.00°
Element x y z (fractional)
Fe: 0.0000 0.0000 0.0000
Fe: 0.0000 0.5000 0.2500
Fe: 0.5000 0.0000 0.7500
Fe: 0.5000 0.5000 0.5000
Au: 0.2426 0.2500 0.6250
Au: 0.2500 0.7426 0.8750
Au: 0.2500 0.7574 0.3750
Au: 0.2574 0.2500 0.1250
Au: 0.7426 0.7500 0.1250
Au: 0.7500 0.2426 0.3750
Au: 0.7500 0.2574 0.8750
Au: 0.7574 0.7500 0.6250
F: 0.0000 0.0000 0.5000
F: 0.0000 0.5000 0.7500
F: 0.5000 0.0000 0.2500
F: 0.5000 0.5000 0.0000

Computed properties:
Energy above the most stable polymorph in this dataset ... 0.000 eV per atom
Total magnetic moment ... 16.11 μB/cell


(6)
FeAu3F: optimized geometry, PBE+U.

a = 4.5833 Å, b = 4.5833 Å, c = 4.5833 Å
α = 90.00°, β = 90.00°, γ = 90.00°
Element x y z (fractional)
Fe: 0.0000 0.0000 0.0000
Au: 0.0000 0.5000 0.5000
Au: 0.5000 0.0000 0.5000
Au: 0.5000 0.5000 0.0000
F: 0.5000 0.5000 0.5000

Computed properties:
Energy above the most stable polymorph in this dataset ... 0.050 eV per atom
Total magnetic moment ... 3.76 μB/cell